[1]
This record from Alexandria via LeMat-Bulk describes a relaxed CsMo3S crystal. The functional is GGA-PBE.

Unit cell a=4.6564 b=4.6564 c=4.6564 alpha=90.00 beta=90.00 gamma=90.00
Last column: nearest neighbours and their distance in Å.
Space group Pm-3m (No. 221)
Symmetry-distinct sites (fractional):
1 Cs 0.0000 0.0000 0.0000 x1  12 Mo 3.29
2 Mo 0.0000 0.5000 0.5000 x3  2 S 2.33
3 S 0.5000 0.5000 0.5000 x1  6 Mo 2.33

## Properties
E above lowest polymorph	0	meV per atom
density of states at the Fermi level	1.848	states/eV/atom
E_form (uncorrected)	1380	meV per atom

---

[2]
This record from Alexandria via LeMat-Bulk describes a relaxed Cs2MoS2 crystal. The functional is GGA-PBE.

Unit cell a=6.8064 b=6.8064 c=6.0939 alpha=90.00 beta=90.00 gamma=90.00
Last column: nearest neighbours and their distance in Å.
Space group P4/mbm (No. 127)
Symmetry-distinct sites (fractional):
1 Cs 0.1751 0.3249 0.0000 x4  2 S 3.28, 5 Cs 3.37-3.55
2 Mo 0.0000 0.0000 0.5000 x2  4 S 2.46
3 S 0.1976 0.6976 0.5000 x4  2 Mo 2.46

## Properties
density of states at the Fermi level	0.526	states/eV/atom
E_form (uncorrected)	-172	meV per atom